Entry 1:
Compound: FeOs3Br
Source: Alexandria
Functional: SCAN
Structure: PBEsol geometry

It has space group Pm-3m (No. 221), with a = 4.472 Å, b = 4.472 Å, c = 4.472 Å, α = 90.00°, β = 90.00° and γ = 90.00°. The asymmetric unit holds Fe at (0.000, 0.000, 0.000), Os at (0.000, 0.500, 0.500) and Br at (0.500, 0.500, 0.500).

The energy relative to the elements, uncorrected comes out at 2.68 eV per atom. As for the total magnetization: 4.13 μB/f.u. For the final energy, the calculation gives -47.967 eV per atom. The calculation puts the energy relative to the lowest polymorph listed for this composition at 0.246 eV/atom.

***

Entry 2:
Compound: FeOsBr
Source: Alexandria
Functional: SCAN
Structure: PBEsol geometry

It has space group F-43m (No. 216), with a = 5.621 Å, b = 5.621 Å, c = 5.621 Å, α = 90.00°, β = 90.00° and γ = 90.00°. The asymmetric unit holds Fe at (0.000, 0.000, 0.000), Os at (0.000, 0.000, 0.500) and Br at (0.250, 0.250, 0.250).

The energy relative to the elements, uncorrected comes out at 1.89 eV per atom. As for the total magnetization: 1.79 μB/f.u. For the final energy, the calculation gives -34.605 eV per atom.

***

Entry 3:
Compound: FeOs3Br
Source: Alexandria
Functional: SCAN
Structure: PBEsol geometry

It has space group Pm-3m (No. 221), with a = 4.424 Å, b = 4.424 Å, c = 4.424 Å, α = 90.00°, β = 90.00° and γ = 90.00°. The asymmetric unit holds Fe at (0.000, 0.000, 0.000), Os at (0.000, 0.000, 0.500) and Br at (0.500, 0.500, 0.500).

The energy relative to the elements, uncorrected comes out at 2.43 eV per atom. As for the total magnetization: 0.00 μB/f.u. For the final energy, the calculation gives -48.213 eV per atom. The calculation puts the energy relative to the lowest polymorph listed for this composition at 0.000 eV/atom.

***

Entry 4:
Compound: FeOsBr2
Source: Alexandria
Functional: SCAN
Structure: PBEsol geometry

It has space group P4/mmm (No. 123), with a = 3.133 Å, b = 3.133 Å, c = 6.397 Å, α = 90.00°, β = 90.00° and γ = 90.00°. The asymmetric unit holds Fe at (0.000, 0.000, 0.000), Os at (0.000, 0.000, 0.500) and Br at (0.500, 0.500, 0.241).

The energy relative to the elements, uncorrected comes out at 1.43 eV per atom. As for the total magnetization: 1.90 μB/f.u. For the final energy, the calculation gives -30.804 eV per atom. The calculation puts the energy relative to the lowest polymorph listed for this composition at 0.821 eV/atom.

***

Entry 5:
Compound: FeOsBr2
Source: Alexandria
Functional: SCAN
Structure: PBEsol geometry

It has space group R-3m (No. 166, hexagonal axes), with a = 3.0591 Å, b = 3.0591 Å, c = 23.6139 Å, α = 90.00°, β = 90.00° and γ = 120.00°. The asymmetric unit holds Fe at (0.0000, 0.0000, 0.0000), Os at (0.0000, 0.0000, 0.5000) and Br at (0.0000, 0.0000, 0.2571).

The energy relative to the elements, uncorrected comes out at 1.13 eV per atom. As for the total magnetization: 1.69 μB/f.u. For the final energy, the calculation gives -31.098 eV per atom. The calculation puts the energy relative to the lowest polymorph listed for this composition at 0.526 eV/atom.

***

Entry 6:
Compound: Fe2OsBr
Source: Alexandria
Functional: SCAN
Structure: PBEsol geometry

It has space group P4/mmm (No. 123), with a = 4.441 Å, b = 4.441 Å, c = 2.771 Å, α = 90.00°, β = 90.00° and γ = 90.00°. The asymmetric unit holds Fe at (0.000, 0.500, 0.000), Os at (0.000, 0.000, 0.500) and Br at (0.500, 0.500, 0.500).

The energy relative to the elements, uncorrected comes out at 0.94 eV per atom. As for the total magnetization: 6.60 μB/f.u. For the final energy, the calculation gives -30.961 eV per atom. The calculation puts the energy relative to the lowest polymorph listed for this composition at 0.114 eV/atom.

***

Entry 7:
Compound: Fe2PBr
Source: Alexandria
Functional: SCAN
Structure: PBEsol geometry

It has space group P4/mmm (No. 123), with a = 4.161 Å, b = 4.161 Å, c = 2.907 Å, α = 90.00°, β = 90.00° and γ = 90.00°. The asymmetric unit holds Fe at (0.000, 0.500, 0.000), P at (0.000, 0.000, 0.500) and Br at (0.500, 0.500, 0.500).

The energy relative to the elements, uncorrected comes out at 0.66 eV per atom. As for the total magnetization: 4.78 μB/f.u. For the final energy, the calculation gives -15.867 eV per atom. The calculation puts the energy relative to the lowest polymorph listed for this composition at 0.327 eV/atom.

***

Entry 8:
Compound: FePBr
Source: Alexandria
Functional: SCAN
Structure: PBEsol geometry

It has space group Fmm2 (No. 42), with a = 3.721 Å, b = 4.815 Å, c = 11.588 Å, α = 90.00°, β = 90.00° and γ = 90.00°. The asymmetric unit holds Fe at (0.000, 0.000, 0.000), P at (0.000, 0.000, 0.604) and Br at (0.000, 0.000, 0.352).

The energy relative to the elements, uncorrected comes out at 0.31 eV per atom. As for the total magnetization: 2.24 μB/f.u. For the final energy, the calculation gives -15.687 eV per atom.

***

Entry 9:
Compound: Fe2PBr
Source: Alexandria
Functional: SCAN
Structure: PBEsol geometry

It has space group P4/mmm (No. 123), with a = 2.958 Å, b = 2.958 Å, c = 6.253 Å, α = 90.00°, β = 90.00° and γ = 90.00°. The asymmetric unit holds Fe at (0.000, 0.000, 0.183), P at (0.500, 0.500, 0.000) and Br at (0.500, 0.500, 0.500).

The energy relative to the elements, uncorrected comes out at 0.34 eV per atom. As for the total magnetization: 5.08 μB/f.u. For the final energy, the calculation gives -16.194 eV per atom. The calculation puts the energy relative to the lowest polymorph listed for this composition at 0.000 eV/atom.

***

Entry 10:
Compound: FePBr3
Source: Alexandria
Functional: SCAN
Structure: PBEsol geometry

It has space group Pm-3m (No. 221), with a = 5.046 Å, b = 5.046 Å, c = 5.046 Å, α = 90.00°, β = 90.00° and γ = 90.00°. The asymmetric unit holds Fe at (0.000, 0.000, 0.000), P at (0.500, 0.500, 0.500) and Br at (0.000, 0.500, 0.500).

The energy relative to the elements, uncorrected comes out at 0.54 eV per atom. As for the total magnetization: 4.00 μB/f.u. For the final energy, the calculation gives -16.844 eV per atom.

***

Entry 11:
Compound: FeTc2PBr
Source: Alexandria
Functional: SCAN
Structure: PBEsol geometry

It has space group P4/mmm (No. 123), with a = 4.529 Å, b = 4.529 Å, c = 4.223 Å, α = 90.00°, β = 90.00° and γ = 90.00°. The asymmetric unit holds Fe at (0.000, 0.000, 0.000), Tc at (0.000, 0.500, 0.500), P at (0.500, 0.500, 0.000) and Br at (0.000, 0.000, 0.500).

The energy relative to the elements, uncorrected comes out at 1.80 eV per atom. As for the total magnetization: 5.08 μB/f.u. For the final energy, the calculation gives -21.819 eV per atom.

***

Entry 12:
Compound: FePtPb2Br
Source: Alexandria
Functional: SCAN
Structure: PBEsol geometry

It has space group P4/mmm (No. 123), with a = 5.587 Å, b = 5.587 Å, c = 4.207 Å, α = 90.00°, β = 90.00° and γ = 90.00°. The asymmetric unit holds Fe at (0.000, 0.000, 0.000), Pt at (0.500, 0.500, 0.000), Pb at (0.000, 0.500, 0.500) and Br at (0.000, 0.000, 0.500).

The energy relative to the elements, uncorrected comes out at 1.09 eV per atom. As for the total magnetization: 1.94 μB/f.u. For the final energy, the calculation gives -50.779 eV per atom.